Compound: Fe2MoW
Source: the Alexandria database
Functional: PBE
Structure: optimized geometry

Structure (extended XYZ):
```
4
Lattice="-0.7447 -0.9051 2.8507 -2.6426 -1.1767 -1.0640 2.6478 -5.1059 -0.9295" Properties=species:S:1:pos:R:3 pbc="T T T"
Mo 1.2875 -2.4827 -0.4520
Fe 0.0244 -0.0471 -0.0086
Fe -1.0589 -2.2649 0.6705
W 0.3314 -4.9459 0.1824
```

* SG: No. 99
* total magnetic moment: 4.0 μB per formula unit
* D(E_F): 0.910 states/eV per atom
* final energy: -40.2 eV per cell